No. 1
Computed, not measured: a relaxed structure of CsSrSi2 at the GGA-PBE level of DFT.

The space group is Fm-3m (No. 225) and the conventional cell measures 8.019, 8.019 and 8.019 Å, with angles of 90.00, 90.00 and 90.00 degrees. Symmetry generates all atoms from Cs at (0.000, 0.000, 0.000), Sr at (0.000, 0.000, 0.500) and Si at (0.250, 0.250, 0.250).

Its distance to the lowest polymorph of the same formula is 0.39 eV per formula unit.

---

No. 2
Computed, not measured: a relaxed structure of CsSrSi at the GGA-PBE level of DFT.

The space group is C2/m (No. 12) and the conventional cell measures 10.932, 4.644 and 12.381 Å, with angles of 90.00, 90.93 and 90.00 degrees. Symmetry generates all atoms from Cs at (0.131, 0.000, 0.323), Sr at (0.139, 0.000, 0.912) and Si at (0.061, 0.500, 0.082).

---

No. 3
Computed, not measured: a relaxed structure of CsSrSi2 at the GGA-PBE level of DFT.

The space group is I4_1/amd (No. 141, origin choice 2) and the conventional cell measures 5.305, 5.305 and 21.899 Å, with angles of 90.00, 90.00 and 90.00 degrees. Symmetry generates all atoms from Cs at (0.000, 0.250, 0.375), Sr at (0.000, 0.250, 0.875) and Si at (0.000, 0.000, 0.000).

Its distance to the lowest polymorph of the same formula is 0.00 eV per formula unit.

---

No. 4
Computed, not measured: a relaxed structure of CsSr2Si2 at the GGA-PBE level of DFT.

The space group is P4/mbm (No. 127) and the conventional cell measures 9.687, 9.687 and 3.481 Å, with angles of 90.00, 90.00 and 90.00 degrees. Symmetry generates all atoms from Cs at (0.000, 0.000, 0.000), Sr at (0.130, 0.370, 0.000) and Si at (0.167, 0.667, 0.500).

Its distance to the lowest polymorph of the same formula is 0.30 eV per formula unit.

---

no.,DFT total energy (eV for the cell shown),raw formation energy (eV/atom)
1,-45.3,0.5120
2,-33.2,-0.1179
3,-46.9,0.4135
4,-30.1,0.0014